a:
A plane-wave DFT calculation with GGA-PBE was carried out for a relaxed TbPm2Ho7 crystal.

Unit cell a=6.146 b=7.103 c=7.936 alpha=102.92 beta=97.38 gamma=106.82
Space group P-1 (No. 2)
Inequivalent atoms, fractional coordinates:
Tb  0.000  0.000  0.000 x1
Pm  0.400  0.800  0.800 x2
Ho  0.000  0.500  0.000 x1
Ho  0.199  0.899  0.400 x2
Ho  0.200  0.401  0.401 x2
Ho  0.401  0.300  0.799 x2

Computed properties:
* volume: 316.2 Å³/cell

***

b:
A plane-wave DFT calculation with GGA-PBE was carried out for a relaxed TbPm2Ho7 crystal.

Unit cell a=6.468 b=28.742 c=3.510 alpha=90.00 beta=90.00 gamma=90.00
Space group Cmmm (No. 65)
Inequivalent atoms, fractional coordinates:
Tb  0.000  0.000  0.000 x2
Pm  0.000  0.292  0.500 x4
Ho  0.000  0.185  0.000 x4
Ho  0.000  0.500  0.500 x2
Ho  0.247  0.098  0.500 x8

Computed properties:
* volume: 652.5 Å³/cell

***

Q: Which of them is the most stable? A: a.

***

a:
A plane-wave DFT calculation with GGA-PBE was carried out for a relaxed TbPm4Ho2 crystal.

Unit cell a=11.957 b=24.200 c=6.454 alpha=90.00 beta=90.00 gamma=90.00
Space group Fdd2 (No. 43)
Inequivalent atoms, fractional coordinates:
Tb  0.000  0.000  0.000 x8
Pm  0.052  0.430  0.993 x16
Pm  0.068  0.356  0.463 x16
Ho  0.025  0.284  0.939 x16

Computed properties:
* volume: 1867.4 Å³/cell

***

b:
A plane-wave DFT calculation with GGA-PBE was carried out for a relaxed TbPm4Ho2 crystal.

Unit cell a=6.214 b=6.623 c=11.638 alpha=90.00 beta=104.89 gamma=90.00
Space group P2_1/m (No. 11)
Inequivalent atoms, fractional coordinates:
Tb  0.153  0.250  0.162 x2
Pm  0.035  0.250  0.862 x2
Pm  0.150  0.250  0.449 x2
Pm  0.352  0.508  0.714 x4
Ho  0.289  0.750  0.425 x2
Ho  0.393  0.750  0.004 x2

Computed properties:
* volume: 462.9 Å³/cell

***

Q: Which of them is the most stable? A: a.

***

a:
A plane-wave DFT calculation with GGA-PBE was carried out for a relaxed Tb4Pm7Ho crystal.

Unit cell a=16.189 b=5.986 c=9.370 alpha=90.00 beta=116.04 gamma=90.00
Space group C2/m (No. 12)
Inequivalent atoms, fractional coordinates:
Tb  0.073  0.000  0.198 x4
Tb  0.173  0.000  0.889 x4
Pm  0.000  0.000  0.500 x2
Pm  0.083  0.500  0.942 x4
Pm  0.209  0.500  0.730 x4
Pm  0.211  0.500  0.379 x4
Ho  0.000  0.500  0.500 x2

Computed properties:
* volume: 815.8 Å³/cell

***

b:
A plane-wave DFT calculation with GGA-PBE was carried out for a relaxed Tb4Pm7Ho crystal.

Unit cell a=6.309 b=7.277 c=8.989 alpha=90.00 beta=103.67 gamma=90.05
Space group P-1 (No. 2)
Inequivalent atoms, fractional coordinates:
Tb  0.220  0.000  0.166 x2
Tb  0.278  0.249  0.832 x2
Pm  0.000  0.000  0.500 x1
Pm  0.221  0.500  0.166 x2
Pm  0.280  0.751  0.834 x2
Pm  0.500  0.249  0.501 x2
Ho  0.000  0.500  0.500 x1

Computed properties:
* volume: 401.0 Å³/cell

***

Q: Which of them is the most stable? A: b.

***

a:
A plane-wave DFT calculation with GGA-PBE was carried out for a relaxed Tb8Pm3Ho2 crystal.

Unit cell a=20.094 b=7.705 c=5.667 alpha=90.00 beta=90.05 gamma=90.00
Space group C2/m (No. 12)
Inequivalent atoms, fractional coordinates:
Tb  0.109  0.209  0.000 x8
Tb  0.135  0.500  0.499 x4
Tb  0.172  0.000  0.501 x4
Pm  0.000  0.209  0.500 x4
Pm  0.000  0.500  0.000 x2
Ho  0.241  0.500  0.998 x4

Computed properties:
* volume: 877.4 Å³/cell

***

b:
A plane-wave DFT calculation with GGA-PBE was carried out for a relaxed Tb8Pm3Ho2 crystal.

Unit cell a=20.815 b=5.053 c=8.006 alpha=90.00 beta=94.33 gamma=90.00
Space group C2/m (No. 12)
Inequivalent atoms, fractional coordinates:
Tb  0.078  0.000  0.115 x4
Tb  0.117  0.500  0.422 x4
Tb  0.155  0.000  0.730 x4
Tb  0.193  0.500  0.039 x4
Pm  0.000  0.000  0.500 x2
Pm  0.039  0.500  0.807 x4
Ho  0.231  0.000  0.346 x4

Computed properties:
* volume: 839.6 Å³/cell

***

Q: Which of them is the most stable? A: b.